No. 1
A plane-wave DFT calculation with PBE was carried out for a relaxed FeOs2Pt crystal.

## Properties
**Volume**: 14.1 Å³ per atom
**Raw total energy**: -9.1154 eV/atom
**Total magnetic moment**: 2.5 μB/cell

abc: 2.7141 4.7003 5.4315
angles: 54.61 90.00 90.00
Site moments in Bohr magnetons follow the coordinates.
Sites, in units of the cell vectors:
Fe (0.0000, 0.0000, 0.5000)  2.54
Pt (0.5000, 0.5000, 0.5000)  0.11
Os (0.0000, 0.0000, 0.0000)  0.01
Os (0.5000, 0.5000, 0.0000)  -0.13

***

No. 2
A plane-wave DFT calculation with PBE was carried out for a relaxed FeOs2Pt crystal.

## Properties
**Volume**: 14.0 Å³ per atom
**Raw total energy**: -9.1485 eV/atom
**Total magnetic moment**: 2.5 μB/cell

abc: 4.6883 4.6883 4.6883
angles: 131.85 131.85 70.47
Site moments in Bohr magnetons follow the coordinates.
Sites, in units of the cell vectors:
Os (0.0000, 0.0000, 0.0000)  -0.01
Pt (0.5000, 0.5000, 0.0000)  0.11
Fe (0.7500, 0.2500, 0.5000)  2.40
Os (0.2500, 0.7500, 0.5000)  -0.01